8
Lattice="-1.2197 -3.6474 3.8332 4.0843 -3.1498 -1.6976 4.8180 -0.8805 4.5412" Properties=species:S:1:pos:R:3 comment="SbS2O (PBE, relaxed)" final_energy_ev_per_cell=-30.832 e_above_lowest_polymorph_mev_per_atom=362 total_magnetization_mub_per_fu=0.0 density_g_cm3=4.16 sg=I-42d raw_formation_energy_ev_per_atom=0.48 pbc="T T T"
S 5.4073 -3.7643 3.9077
S 3.3898 -3.2873 1.2288
Sb 2.5153 -3.9632 4.7211
Sb 0.0000 0.0000 0.0000
S 1.1676 -2.2508 2.6435
O 1.4323 -3.3986 1.0678
O 5.1673 -3.7145 1.9557
S 5.4004 -6.0530 5.5737

***

3
Lattice="-2.5678 -1.4584 -1.0029 -0.9960 -0.2702 2.9430 -0.8244 5.7509 -1.4034" Properties=species:S:1:pos:R:3 comment="NpNiAu (PBE, relaxed)" final_energy_ev_per_cell=-21.963 e_above_lowest_polymorph_mev_per_atom=19 total_magnetization_mub_per_fu=3.8 formation_energy_ev_per_fu=0.036 density_g_cm3=15.14 sg=I4mm pbc="T T T"
Ni -2.6725 0.8055 0.8220
Au -1.6312 3.0584 -0.2712
Np -0.0845 0.1584 -0.0140

***

12
Lattice="-1.7155 2.1371 5.6058 -3.1715 -4.6680 -2.6621 8.6452 -6.8170 4.0884" Properties=species:S:1:pos:R:3 comment="PmPr3Nd2Tm6 (PBE, relaxed)" final_energy_ev_per_cell=-55.257 total_magnetization_mub_per_fu=0.0 formation_energy_ev_per_fu=0.197 density_g_cm3=7.96 sg=C2/m pbc="T T T"
Nd -2.6861 -2.3990 0.0946
Pr 1.8791 -4.6739 3.5161
Tm 0.6890 -3.4624 0.3749
Tm 2.5839 -8.1532 3.9021
Tm 3.0691 -5.8855 6.6573
Nd -2.2010 -0.1319 2.8491
Tm -1.5119 -3.5954 3.2255
Pr 1.3938 -6.9418 0.7606
Pr 2.3643 -2.4060 6.2715
Tm 5.2700 -5.7525 3.8067
Tm 1.1742 -1.1946 3.1301
Pm 0.0000 0.0000 0.0000

***

no.,volume (Å³/f.u.)
1,80.6
2,54.0
3,389.8